Entry one
The following is a PBE-GGA calculation of Na3Bi after structural relaxation, from Alexandria.

Output
Spin magnetization = 0.00 μB per cell

Unit cell a=7.0222 b=7.0222 c=5.6660 alpha=90.00 beta=90.00 gamma=120.00
Closest atoms and distances in Å follow each position.
Space group P6_3/mmc (No. 194)
Inequivalent atoms, fractional coordinates:
Na 0.1813 0.3626 0.2500 (multiplicity 6)  2 Na 3.20, 4 Bi 3.38-3.52
Bi 0.3333 0.6667 0.7500 (multiplicity 2)  12 Na 3.38-3.52

***

Entry two
The following is a PBE-GGA calculation of Na3Bi after structural relaxation, from Alexandria.

Output
Spin magnetization = 0.00 μB per cell

Unit cell a=3.8020 b=11.3025 c=5.7650 alpha=90.00 beta=90.00 gamma=90.00
Closest atoms and distances in Å follow each position.
Space group Imm2 (No. 44)
Inequivalent atoms, fractional coordinates:
Na 0.0000 0.0000 0.0000 (multiplicity 2)  4 Bi 3.39-3.51, 8 Na 3.55-3.80
Na 0.0000 0.2353 0.4069 (multiplicity 4)  2 Bi 3.33, 7 Na 3.47-3.58
Bi 0.0000 0.5000 0.0121 (multiplicity 2)  8 Na 3.33-3.51

***

The most stable of them is entry one.

***

Entry one
The following is a PBE-GGA calculation of Na3Bi after structural relaxation, from Alexandria.

Output
Spin magnetization = 0.05 μB per cell

Unit cell a=4.9373 b=4.9373 c=4.9373 alpha=90.00 beta=90.00 gamma=90.00
Closest atoms and distances in Å follow each position.
Space group Pm-3m (No. 221)
Inequivalent atoms, fractional coordinates:
Na 0.0000 0.0000 0.5000 (multiplicity 3)  4 Bi 3.49, 8 Na 3.49
Bi 0.5000 0.5000 0.5000 (multiplicity 1)  12 Na 3.49

***

Entry two
The following is a PBE-GGA calculation of Na3Bi after structural relaxation, from Alexandria.

Output
Spin magnetization = 0.00 μB per cell

Unit cell a=5.4876 b=5.4876 c=9.7588 alpha=90.00 beta=90.00 gamma=120.00
Closest atoms and distances in Å follow each position.
Space group P6_3/mmc (No. 194)
Inequivalent atoms, fractional coordinates:
Na 0.0000 0.0000 0.2500 (multiplicity 2)  3 Bi 3.17
Na 0.3333 0.6667 0.0826 (multiplicity 4)  4 Bi 3.25-3.56, 7 Na 3.27-3.56
Bi 0.3333 0.6667 0.7500 (multiplicity 2)  5 Na 3.17-3.25

***

Entry three
The following is a PBE-GGA calculation of Na3Bi after structural relaxation, from Alexandria.

Output
Spin magnetization = 0.00 μB per cell

Unit cell a=3.7075 b=5.5688 c=5.9594 alpha=90.00 beta=90.00 gamma=90.00
Closest atoms and distances in Å follow each position.
Space group Pmm2 (No. 25)
Inequivalent atoms, fractional coordinates:
Na 0.0000 0.0000 0.0000 (multiplicity 1)  4 Na 3.30-3.51, 4 Bi 3.45
Na 0.0000 0.5000 0.3595 (multiplicity 1)  4 Bi 3.51, 8 Na 3.51-3.71
Na 0.5000 0.0000 0.5427 (multiplicity 1)  6 Na 3.30-3.52, 2 Bi 3.37
Bi 0.5000 0.5000 0.8599 (multiplicity 1)  10 Na 3.37-3.51, 2 Bi 3.71

***

The most stable of them is entry two.

***

Entry one
The following is a PBE-GGA calculation of NaBi3 after structural relaxation, from Alexandria.

Output
Spin magnetization = 0.00 μB per cell

Unit cell a=3.3885 b=5.4108 c=7.0779 alpha=90.00 beta=90.00 gamma=90.00
Closest atoms and distances in Å follow each position.
Space group Pmmm (No. 47)
Inequivalent atoms, fractional coordinates:
Na 0.0000 0.0000 0.0000 (multiplicity 1)  2 Na 3.39, 8 Bi 3.56
Bi 0.5000 0.0000 0.5000 (multiplicity 1)  6 Bi 3.34-3.39
Bi 0.5000 0.5000 0.2235 (multiplicity 2)  5 Bi 3.16-3.39

***

Entry two
The following is a PBE-GGA calculation of NaBi3 after structural relaxation, from Alexandria.

Output
Spin magnetization = 0.00 μB per cell

Unit cell a=7.9243 b=7.9243 c=7.9243 alpha=90.00 beta=90.00 gamma=90.00
Closest atoms and distances in Å follow each position.
Space group Fm-3m (No. 225)
Inequivalent atoms, fractional coordinates:
Na 0.0000 0.0000 0.0000 (multiplicity 4)  8 Bi 3.43
Bi 0.0000 0.0000 0.5000 (multiplicity 4)  8 Bi 3.43
Bi 0.2500 0.2500 0.2500 (multiplicity 8)  4 Na 3.43, 4 Bi 3.43

***

Entry three
The following is a PBE-GGA calculation of NaBi3 after structural relaxation, from Alexandria.

Output
Spin magnetization = 0.00 μB per cell

Unit cell a=4.9518 b=4.9518 c=10.0642 alpha=90.00 beta=90.00 gamma=90.00
Closest atoms and distances in Å follow each position.
Space group I4/mmm (No. 139)
Inequivalent atoms, fractional coordinates:
Na 0.0000 0.0000 0.0000 (multiplicity 2)  12 Bi 3.50-3.53
Bi 0.0000 0.0000 0.5000 (multiplicity 2)  4 Na 3.50, 8 Bi 3.53
Bi 0.0000 0.5000 0.2500 (multiplicity 4)  8 Bi 3.50-3.53, 4 Na 3.53

***

Entry four
The following is a PBE-GGA calculation of NaBi3 after structural relaxation, from Alexandria.

Output
Spin magnetization = 0.00 μB per cell

Unit cell a=3.4407 b=11.8602 c=6.0901 alpha=90.00 beta=90.00 gamma=90.00
Closest atoms and distances in Å follow each position.
Space group Imm2 (No. 44)
Inequivalent atoms, fractional coordinates:
Na 0.0000 0.0000 0.0000 (multiplicity 2)  2 Na 3.44, 10 Bi 3.46-3.63
Bi 0.0000 0.2577 0.7316 (multiplicity 4)  7 Bi 3.29-3.50, 3 Na 3.47-3.63
Bi 0.0000 0.5000 0.9933 (multiplicity 2)  4 Bi 3.29-3.44, 4 Na 3.46-3.53

***

The most stable of them is entry one.

***

Entry one
The following is a PBE-GGA calculation of NaBi3 after structural relaxation, from Alexandria.

Output
Spin magnetization = 0.00 μB per cell

Unit cell a=4.9620 b=4.9620 c=4.9623 alpha=90.00 beta=90.00 gamma=90.00
Closest atoms and distances in Å follow each position.
Space group P4mm (No. 99)
Inequivalent atoms, fractional coordinates:
Na 0.0000 0.0000 0.0000 (multiplicity 1)  12 Bi 3.51
Bi 0.0000 0.5000 0.5002 (multiplicity 2)  8 Bi 3.50-3.51, 4 Na 3.51
Bi 0.5000 0.5000 0.9990 (multiplicity 1)  8 Bi 3.50-3.51, 4 Na 3.51

***

Entry two
The following is a PBE-GGA calculation of NaBi3 after structural relaxation, from Alexandria.

Output
Spin magnetization = 0.00 μB per cell

Unit cell a=7.0007 b=7.0007 c=5.8222 alpha=90.00 beta=90.00 gamma=120.00
Closest atoms and distances in Å follow each position.
Space group P6_3/mmc (No. 194)
Inequivalent atoms, fractional coordinates:
Na 0.3333 0.6667 0.2500 (multiplicity 2)  12 Bi 3.50-3.57
Bi 0.1630 0.3259 0.7500 (multiplicity 6)  8 Bi 3.42-3.58, 4 Na 3.50-3.57

***

The most stable of them is entry one.

***

Entry one
The following is a PBE-GGA calculation of Na5Bi after structural relaxation, from Alexandria.

Output
Spin magnetization = 0.00 μB per cell

Unit cell a=9.5888 b=5.5134 c=7.0369 alpha=90.00 beta=90.29 gamma=90.00
Closest atoms and distances in Å follow each position.
Space group Cm (No. 8)
Inequivalent atoms, fractional coordinates:
Na 0.0000 0.0000 0.0000 (multiplicity 2)  4 Na 3.25-3.32, 3 Bi 3.39
Na 0.0010 0.0000 0.5380 (multiplicity 2)  7 Na 3.25-3.50
Na 0.1669 0.5000 0.3359 (multiplicity 2)  6 Na 3.49-3.50, 2 Bi 3.52
Na 0.3328 0.0000 0.1323 (multiplicity 2)  7 Na 3.25-3.50
Na 0.3336 0.0000 0.6708 (multiplicity 2)  4 Na 3.25-3.33, 3 Bi 3.39
Bi 0.1668 0.5000 0.8360 (multiplicity 2)  8 Na 3.39-3.52

***

Entry two
The following is a PBE-GGA calculation of Na5Bi after structural relaxation, from Alexandria.

Output
Spin magnetization = 0.00 μB per cell

Unit cell a=5.2213 b=13.9963 c=5.2679 alpha=90.00 beta=90.00 gamma=90.00
Closest atoms and distances in Å follow each position.
Space group Cmmm (No. 65)
Inequivalent atoms, fractional coordinates:
Na 0.0000 0.0000 0.0000 (multiplicity 2)  8 Na 3.37-3.39, 4 Bi 3.71
Na 0.0000 0.1528 0.5000 (multiplicity 4)  2 Bi 3.37, 8 Na 3.39-3.77
Na 0.0000 0.3482 0.0000 (multiplicity 4)  6 Na 3.37-3.71, 2 Bi 3.38
Bi 0.0000 0.5000 0.5000 (multiplicity 2)  12 Na 3.37-3.71

***

The most stable of them is entry one.

***

Entry one
The following is a PBE-GGA calculation of Na4Bi after structural relaxation, from Alexandria.

Output
Spin magnetization = 0.00 μB per cell

Unit cell a=5.8653 b=5.9676 c=9.7846 alpha=90.00 beta=90.18 gamma=90.00
Closest atoms and distances in Å follow each position.
Space group P2_1/c (No. 14)
Inequivalent atoms, fractional coordinates:
Na 0.0002 0.0315 0.1674 (multiplicity 4)  3 Bi 3.24-3.57, 5 Na 3.30-3.56
Na 0.5002 0.2087 0.3962 (multiplicity 4)  3 Na 3.21-3.56, 2 Bi 3.34-3.35
Bi 0.0000 0.0000 0.5000 (multiplicity 2)  10 Na 3.24-3.57

***

Entry two
The following is a PBE-GGA calculation of Na4Bi after structural relaxation, from Alexandria.

Output
Spin magnetization = 0.00 μB per cell

Unit cell a=5.0710 b=7.8981 c=7.9217 alpha=90.00 beta=90.00 gamma=90.00
Closest atoms and distances in Å follow each position.
Space group Immm (No. 71)
Inequivalent atoms, fractional coordinates:
Na 0.0000 0.0000 0.2188 (multiplicity 4)  3 Na 3.14-3.47, 2 Bi 3.38
Na 0.0000 0.2805 0.5000 (multiplicity 4)  3 Na 3.14-3.47, 2 Bi 3.37
Bi 0.0000 0.5000 0.0000 (multiplicity 2)  8 Na 3.37-3.38

***

Entry three
The following is a PBE-GGA calculation of Na4Bi after structural relaxation, from Alexandria.

Output
Spin magnetization = 0.43 μB per cell

Unit cell a=6.0746 b=6.0746 c=6.0746 alpha=90.00 beta=90.00 gamma=90.00
Closest atoms and distances in Å follow each position.
Space group Pm-3m (No. 221)
Inequivalent atoms, fractional coordinates:
Na 0.0000 0.0000 0.0000 (multiplicity 1)  12 Na 4.30
Na 0.0000 0.5000 0.5000 (multiplicity 3)  2 Bi 3.04
Bi 0.5000 0.5000 0.5000 (multiplicity 1)  6 Na 3.04

***

The most stable of them is entry one.

***

Entry one
The following is a PBE-GGA calculation of Na2Bi3 after structural relaxation, from Alexandria.

Output
Spin magnetization = 0.00 μB per cell

Unit cell a=9.0487 b=9.0487 c=12.8504 alpha=90.00 beta=90.00 gamma=120.00
Closest atoms and distances in Å follow each position.
Space group R-3c (No. 167, hexagonal axes)
Inequivalent atoms, fractional coordinates:
Na 0.0000 0.0000 0.1212 (multiplicity 12)  2 Na 3.11-3.31, 6 Bi 3.14-3.29
Bi 0.0000 0.3147 0.2500 (multiplicity 18)  4 Na 3.14-3.29

***

Entry two
The following is a PBE-GGA calculation of Na2Bi3 after structural relaxation, from Alexandria.

Output
Spin magnetization = 0.00 μB per cell

Unit cell a=6.4290 b=11.7875 c=8.9141 alpha=90.00 beta=90.00 gamma=90.00
Closest atoms and distances in Å follow each position.
Space group Cmce (No. 64)
Inequivalent atoms, fractional coordinates:
Na 0.0000 0.1162 0.1246 (multiplicity 8)  9 Bi 3.38-3.73, 1 Na 3.53
Bi 0.0000 0.0000 0.5000 (multiplicity 4)  4 Bi 3.27, 2 Na 3.62
Bi 0.2500 0.1499 0.7500 (multiplicity 8)  4 Bi 3.21-3.27, 2 Na 3.38

***

The most stable of them is entry two.

***

Entry one
The following is a PBE-GGA calculation of Na2NbBi2 after structural relaxation, from Alexandria.

Output
Spin magnetization = 0.72 μB per cell

Unit cell a=3.8525 b=3.8525 c=16.9295 alpha=90.00 beta=90.00 gamma=90.00
Closest atoms and distances in Å follow each position.
Space group I4/mmm (No. 139)
Inequivalent atoms, fractional coordinates:
Na 0.0000 0.5000 0.2500 (multiplicity 4)  4 Na 2.72
Nb 0.0000 0.0000 0.0000 (multiplicity 2)  8 Bi 3.16
Bi 0.0000 0.0000 0.4056 (multiplicity 4)  4 Nb 3.16, 1 Bi 3.19, 4 Na 3.26

***

Entry two
The following is a PBE-GGA calculation of Na2NbBi2 after structural relaxation, from Alexandria.

Output
Spin magnetization = 5.23 μB per cell

Unit cell a=7.6077 b=7.6077 c=5.1662 alpha=90.00 beta=90.00 gamma=90.00
Closest atoms and distances in Å follow each position.
Space group P4/mbm (No. 127)
Inequivalent atoms, fractional coordinates:
Na 0.1664 0.3336 0.0000 (multiplicity 4)  6 Bi 3.26-3.53, 1 Na 3.58
Nb 0.0000 0.0000 0.5000 (multiplicity 2)  4 Bi 2.90
Bi 0.1488 0.6488 0.5000 (multiplicity 4)  2 Nb 2.90, 1 Bi 3.20

***

The most stable of them is entry two.